# 1
This record from the Alexandria database describes a geometry-optimized Y3Er4Mg2 structure. The functional is PBE.

Lattice parameters (Å, degrees): 7.775 7.775 7.829 107.73 107.73 36.67
Sites, in units of the cell vectors:
1 Y 0.000 0.000 0.000
2 Y 0.112 0.112 0.667
3 Y 0.888 0.888 0.333
4 Er 0.221 0.221 0.331
5 Er 0.443 0.443 0.664
6 Er 0.557 0.557 0.336
7 Er 0.779 0.779 0.669
8 Mg 0.331 0.331 0.001
9 Mg 0.669 0.669 0.999

Final energy, eV/atom: -4.526

***

# 2
This record from the Alexandria database describes a geometry-optimized Y8ErMg2 structure. The functional is PBE.

Lattice parameters (Å, degrees): 9.246 9.246 7.872 105.17 105.17 31.30
Sites, in units of the cell vectors:
1 Y 0.047 0.047 0.235
2 Y 0.228 0.228 0.133
3 Y 0.318 0.318 0.597
4 Y 0.411 0.411 0.045
5 Y 0.589 0.589 0.955
6 Y 0.682 0.682 0.403
7 Y 0.772 0.772 0.867
8 Y 0.953 0.953 0.765
9 Er 0.500 0.500 0.500
10 Mg 0.136 0.136 0.681
11 Mg 0.864 0.864 0.319

Excess energy over the best structure of this formula in the dataset, meV per atom: 0
Final energy, eV/atom: -5.383

***

| no. | formation energy (eV per atom) |
| --- | --- |
| 1 | 0.0106 |
| 2 | 0.0226 |